[1]
Density functional theory data (PBE) for crystalline RbMn3Cl at its relaxed geometry.

Results
Formation energy without anion corrections   1.926 eV per atom
Crystal system   cubic
V   244.44 Å³/cell
Energy above the most stable polymorph in this dataset   830 meV per atom
Symmetry   Pm-3m, No. 221
Total moment   15.0 μB per formula unit
Density of states at the Fermi level   0.05 states/eV per atom

Unit cell a=6.2526 b=6.2526 c=6.2526 alpha=90.00 beta=90.00 gamma=90.00
Last column: nearest neighbours and their distance in Å.
Sites, in units of the cell vectors:
Mn1 0.0000 0.5000 0.0000  2 Rb 3.13
Mn2 0.0000 0.0000 0.5000  2 Rb 3.13
Mn3 0.5000 0.0000 0.0000  2 Rb 3.13
Rb1 0.0000 0.0000 0.0000  6 Mn 3.13
Cl1 0.5000 0.5000 0.5000  12 Mn 4.42



[2]
Density functional theory data (PBE) for crystalline BeCuSe2 at its relaxed geometry.

Results
Formation energy without anion corrections   0.058 eV per atom
Crystal system   orthorhombic
V   101.02 Å³/cell
Symmetry   Immm, No. 71
Total moment   0.0 μB per formula unit
Density of states at the Fermi level   0.66 states/eV per atom

Unit cell a=5.8973 b=5.8973 c=5.8973 alpha=147.76 beta=79.74 gamma=109.41
Last column: nearest neighbours and their distance in Å.
Sites, in units of the cell vectors:
Be1 0.7500 0.2500 0.5000  4 Se 2.26
Cu1 0.2500 0.7500 0.5000  4 Se 2.47
Se1 0.9791 0.9791 0.0000  2 Be 2.26, 2 Cu 2.47
Se2 0.5209 0.5209 0.0000  2 Be 2.26, 2 Cu 2.47



[3]
Density functional theory data (PBE) for crystalline Ca2CoPt at its relaxed geometry.

Results
Crystal system   orthorhombic
DFT formation energy   -0.787 eV per formula unit
V   87.03 Å³/cell
Symmetry   Imm2, No. 44
Total moment   1.3 μB per formula unit
Density of states at the Fermi level   1.24 states/eV per atom

Unit cell a=5.9344 b=5.9344 c=5.9344 alpha=144.08 beta=134.22 gamma=59.51
Last column: nearest neighbours and their distance in Å.
Sites, in units of the cell vectors:
Ca1 0.0179 0.0179 0.0000  4 Co 3.01, 2 Ca 3.23, 4 Pt 3.30-3.34
Ca2 0.7367 0.2367 0.5000  4 Pt 2.99, 2 Ca 3.23, 2 Co 3.23
Co1 0.4561 0.4561 0.0000  2 Pt 2.51
Pt1 0.2893 0.7893 0.5000  2 Co 2.51